A plane-wave DFT calculation with PBE with a Hubbard U was carried out for a geometry-optimized LiNi5O6 structure. Values from VASP.

Electronic total energy, eV per atom: -4.8484
Size of the total moment, Bohr magnetons per cell: 9.00
Space group: C2/m

```
&SYSTEM
  ibrav = 0, nat = 12, ntyp = 3
/
ATOMIC_SPECIES
O 16.00 O.upf
Ni 58.69 Ni.upf
Li 6.94 Li.upf
ATOMIC_POSITIONS crystal
O 0.257 0.257 0.747
O 0.916 0.573 0.746
O 0.427 0.084 0.254
O 0.743 0.743 0.253
O 0.084 0.427 0.254
O 0.573 0.916 0.746
Ni 0.333 0.667 0.000
Ni 0.667 0.333 0.000
Ni 0.836 0.164 0.500
Ni 0.164 0.836 0.500
Ni 0.500 0.500 0.500
Li 0.000 0.000 0.000
CELL_PARAMETERS angstrom
5.033 -0.077 -0.950
-2.718 4.236 -0.950
0.098 0.175 5.118
```